Entry from Alexandria: a relaxed structure of BaNp2O7F2 (PBE).

Cell: 4.2211 5.9390 9.3346 Å, 108.55 103.07 90.00°
Closest atoms and distances in Å follow each position.
Element x y z (fractional)
O1 0.5000 0.5063 0.0000  2 Np 2.20
O2 0.3502 0.2187 0.7003  1 Np 1.81
O3 0.5788 0.0294 0.1576  1 Np 1.86
O4 0.6498 0.5184 0.2997  1 Np 1.81
O5 0.4212 0.8719 0.8424  1 Np 1.86
O6 0.1033 0.7504 0.2067  2 Np 2.12
O7 0.8967 0.5437 0.7933  2 Np 2.12
Np1 0.6168 0.7740 0.2336  2 O 1.81-1.86
Np2 0.3832 0.5405 0.7664  2 O 1.81-1.86
F1 0.2704 0.5489 0.5408  1 Np 2.07
F2 0.7296 0.0080 0.4592  1 Np 2.07
Ba1 0.0000 0.1896 0.0000  6 O 2.83-2.88

The calculation puts the raw total energy at -98.71 eV per cell. Its crystal system is orthorhombic. The magnetic moment comes out at 0.0000 μB per atom. The space group is Imm2, No. 44. The formation energy (no corrections) is -2.70 eV per atom.